## La2NdZnN (PBE)

Data for crystalline La2NdZnN at its relaxed geometry.

Unit cell a=5.0682 b=5.0682 c=5.0211 alpha=90.00 beta=90.00 gamma=90.00
Space group P4/mmm (No. 123)
Symmetry-distinct sites (fractional):
La 0.0000 0.5000 0.0000 x2
Nd 0.0000 0.0000 0.5000 x1
Zn 0.5000 0.5000 0.5000 x1
N 0.0000 0.0000 0.0000 x1

- spin magnetization (μB per formula unit) = 0.0
- raw formation energy (meV per atom) = -642
- crystal system = tetragonal